## BiOsO4 (PBE)

Data for a geometry-optimized BiOsO4 structure. Values from VASP.

## Properties
formation energy (no corrections)	-1091	meV per atom

Geometry as Quantum ESPRESSO input:
```
&SYSTEM
  ibrav = 0, nat = 12, ntyp = 3
/
ATOMIC_SPECIES
Bi 208.98 Bi.upf
Os 190.23 Os.upf
O 16.00 O.upf
ATOMIC_POSITIONS angstrom
Bi -3.573 1.092 5.108
Bi -3.159 -0.879 1.805
Os -0.473 -0.241 4.354
Os -6.259 0.454 2.558
O -2.080 0.588 3.427
O -4.652 -0.375 3.485
O -1.660 0.131 5.960
O -5.071 0.082 0.952
O -1.368 -1.945 4.195
O -5.363 2.158 2.717
O 0.450 -0.490 2.717
O 0.000 0.000 0.000
CELL_PARAMETERS angstrom
-1.591 -3.494 -0.366
0.900 -0.979 5.433
-6.040 4.686 1.845
```

---

## Pr2OsRu3 (PBE)

Data for a geometry-optimized Pr2OsRu3 structure. Values from VASP.

Geometry as Quantum ESPRESSO input:
```
&SYSTEM
  ibrav = 0, nat = 12, ntyp = 3
/
ATOMIC_SPECIES
Pr 140.91 Pr.upf
Os 190.23 Os.upf
Ru 101.07 Ru.upf
ATOMIC_POSITIONS angstrom
Pr 2.711 1.565 3.895
Pr 0.000 3.130 5.058
Pr 0.000 3.130 8.372
Pr 2.711 1.565 0.581
Os 0.000 0.000 4.477
Os 0.000 0.000 0.000
Ru 0.000 1.581 2.238
Ru 1.369 0.790 6.715
Ru 2.711 3.114 6.715
Ru -1.342 3.905 2.238
Ru 4.052 0.790 6.715
Ru 1.342 3.905 2.238
CELL_PARAMETERS angstrom
5.421 0.000 0.000
-2.711 4.695 0.000
0.000 0.000 8.953
```

---

## ZrBeCr (PBE)

Data for a geometry-optimized ZrBeCr structure. Values from VASP.

## Properties
ΔE to the lowest computed polymorph	0.4816	eV/atom

Geometry as Quantum ESPRESSO input:
```
&SYSTEM
  ibrav = 0, nat = 3, ntyp = 3
/
ATOMIC_SPECIES
Cr 52.00 Cr.upf
Zr 91.22 Zr.upf
Be 9.01 Be.upf
ATOMIC_POSITIONS angstrom
Cr 0.000 0.000 0.000
Zr 0.141 -1.475 4.764
Be 0.212 -2.213 7.146
CELL_PARAMETERS angstrom
-0.251 1.236 3.873
-1.747 -2.395 2.793
2.281 -1.791 2.861
```

---

So what do the calculations give for calculated total energy? Going down the list: -6.915 -8.191 -6.871 eV/atom.